A relaxed ZrTaAl2 crystal. Source: Alexandria via LeMat-Bulk, functional PBE.

Cell lengths 9.8353, 9.8353, 9.8353 Å; angles 17.43, 17.43, 17.43 degrees
Fractional coordinates of all 4 atoms:
Zr 0.0000 0.0000 0.0000
Ta 0.5000 0.5000 0.5000
Al 0.2459 0.2459 0.2459
Al 0.7541 0.7541 0.7541

## Properties
The value obtained for the calculated volume is 74 Å³ per cell. The energy above the most stable polymorph in this dataset is 0.2036 eV per atom. The value obtained for the density of states at the Fermi level is 3.2 states/eV/f.u. Its calculated total energy is -7.097 eV per atom.